Record 1
Below is a geometry-optimized Sr3PuTl4 structure, with properties calculated at the GGA-PBE level.

space-group type	P4/mmm, No. 123
total DFT energy (no corrections)	-3.90	eV/atom
total magnetic moment	5.94	μB/f.u.

```
data_Sr3PuTl4
_chemical_formula_sum 'Sr3 Pu1 Tl4'
_cell_length_a 3.9991
_cell_length_b 3.9991
_cell_length_c 16.3761
_cell_angle_alpha 90.00
_cell_angle_beta 90.00
_cell_angle_gamma 90.00
_space_group_name_H-M_alt 'P 1'
_space_group_IT_number 1
_space_group_name_Hall 'P 1'
loop_
_atom_site_label
_atom_site_fract_x
_atom_site_fract_y
_atom_site_fract_z
Sr1 0.5000 0.5000 0.2436
Sr2 0.5000 0.5000 0.5000
Sr3 0.5000 0.5000 0.7564
Tl1 0.0000 0.0000 0.8875
Tl2 0.0000 0.0000 0.1125
Tl3 0.0000 0.0000 0.3734
Tl4 0.0000 0.0000 0.6266
Pu1 0.5000 0.5000 0.0000
```

***

Record 2
Below is a geometry-optimized Tb6TlGe2S3 structure, with properties calculated at the GGA-PBE level.

space-group type	C2/m, No. 12
uncorrected formation energy	-1.33	eV/atom
total magnetic moment	0.00	μB/f.u.

```
data_Tb6TlGe2S3
_chemical_formula_sum 'Tb6 Tl1 Ge2 S3'
_cell_length_a 4.0723
_cell_length_b 8.2966
_cell_length_c 9.3010
_cell_angle_alpha 107.41
_cell_angle_beta 102.65
_cell_angle_gamma 90.00
_space_group_name_H-M_alt 'P 1'
_space_group_IT_number 1
_space_group_name_Hall 'P 1'
loop_
_atom_site_label
_atom_site_fract_x
_atom_site_fract_y
_atom_site_fract_z
Tb1 0.3253 0.9207 0.6506
Tb2 0.6686 0.5739 0.3373
Tb3 0.6747 0.0793 0.3494
Tb4 0.9938 0.2730 0.9876
Tb5 0.0062 0.7270 0.0124
Tb6 0.3314 0.4261 0.6627
Tl1 0.5000 0.0000 0.0000
Ge1 0.8387 0.6811 0.6774
Ge2 0.1613 0.3189 0.3226
S1 0.5000 0.5000 0.0000
S2 0.8321 0.1745 0.6643
S3 0.1679 0.8255 0.3357
```

***

Record 3
Below is a geometry-optimized Th3Te2N2 structure, with properties calculated at the GGA-PBE level.

space-group type	C2/m, No. 12
uncorrected formation energy	-1.54	eV/atom
total magnetic moment	0.00	μB/f.u.

```
data_Th3Te2N2
_chemical_formula_sum 'Th3 Te2 N2'
_cell_length_a 4.1066
_cell_length_b 6.7926
_cell_length_c 7.1370
_cell_angle_alpha 69.89
_cell_angle_beta 73.28
_cell_angle_gamma 72.41
_space_group_name_H-M_alt 'P 1'
_space_group_IT_number 1
_space_group_name_Hall 'P 1'
loop_
_atom_site_label
_atom_site_fract_x
_atom_site_fract_y
_atom_site_fract_z
Th1 0.0000 0.0000 0.0000
Th2 0.8012 0.6252 0.7725
Th3 0.1988 0.3748 0.2275
Te1 0.5782 0.2058 0.6378
Te2 0.4218 0.7942 0.3622
N1 0.7956 0.3390 0.0698
N2 0.2044 0.6610 0.9302
```

***

Record 4
Below is a geometry-optimized Sm6DyHo2Tm3 structure, with properties calculated at the GGA-PBE level.

space-group type	C2/m, No. 12
total DFT energy (no corrections)	-4.61	eV/atom
total magnetic moment	0.00	μB/f.u.

```
data_Sm6DyHo2Tm3
_chemical_formula_sum 'Sm6 Dy1 Ho2 Tm3'
_cell_length_a 6.1910
_cell_length_b 6.1910
_cell_length_c 11.7369
_cell_angle_alpha 95.02
_cell_angle_beta 95.02
_cell_angle_gamma 119.98
_space_group_name_H-M_alt 'P 1'
_space_group_IT_number 1
_space_group_name_Hall 'P 1'
loop_
_atom_site_label
_atom_site_fract_x
_atom_site_fract_y
_atom_site_fract_z
Sm1 0.9159 0.5825 0.7487
Sm2 0.7507 0.7507 0.2513
Sm3 0.0841 0.4175 0.2513
Sm4 0.5825 0.9159 0.7487
Sm5 0.2493 0.2493 0.7487
Sm6 0.4175 0.0841 0.2513
Dy1 0.0000 0.0000 0.0000
Ho1 0.3334 0.6666 0.0000
Ho2 0.6666 0.3334 0.0000
Tm1 0.1667 0.8333 0.5000
Tm2 0.8333 0.1667 0.5000
Tm3 0.5000 0.5000 0.5000
```

***

Record 5
Below is a geometry-optimized Ca2TmGaSe5 structure, with properties calculated at the GGA-PBE level.

space-group type	Cmc2_1, No. 36
uncorrected formation energy	-1.55	eV/atom
total magnetic moment	0.00	μB/f.u.

```
data_Ca2TmGaSe5
_chemical_formula_sum 'Ca4 Tm2 Ga2 Se10'
_cell_length_a 3.9956
_cell_length_b 9.3585
_cell_length_c 12.4925
_cell_angle_alpha 90.00
_cell_angle_beta 90.00
_cell_angle_gamma 102.33
_space_group_name_H-M_alt 'P 1'
_space_group_IT_number 1
_space_group_name_Hall 'P 1'
loop_
_atom_site_label
_atom_site_fract_x
_atom_site_fract_y
_atom_site_fract_z
Ca1 0.8762 0.7523 0.8226
Ca2 0.1176 0.2351 0.6779
Ca3 0.1238 0.2477 0.3226
Ca4 0.8824 0.7649 0.1779
Tm1 0.7929 0.5857 0.5254
Tm2 0.2071 0.4143 0.0254
Ga1 0.5573 0.1146 0.9341
Ga2 0.4427 0.8854 0.4341
Se1 0.3573 0.7146 0.0045
Se2 0.6846 0.3691 0.8634
Se3 0.4968 0.9936 0.7668
Se4 0.2922 0.5844 0.6801
Se5 0.9549 0.9097 0.5491
Se6 0.6427 0.2854 0.5045
Se7 0.3154 0.6309 0.3634
Se8 0.5032 0.0064 0.2668
Se9 0.7078 0.4156 0.1801
Se10 0.0451 0.0903 0.0491
```

***

Record 6
Below is a geometry-optimized Zn9Ir2Pd structure, with properties calculated at the GGA-PBE level.

space-group type	P4/mmm, No. 123
total DFT energy (no corrections)	-3.10	eV/atom
total magnetic moment	0.00	μB/f.u.

```
data_Zn9Ir2Pd
_chemical_formula_sum 'Zn9 Ir2 Pd1'
_cell_length_a 3.8332
_cell_length_b 3.8332
_cell_length_c 11.6195
_cell_angle_alpha 90.00
_cell_angle_beta 90.00
_cell_angle_gamma 90.00
_space_group_name_H-M_alt 'P 1'
_space_group_IT_number 1
_space_group_name_Hall 'P 1'
loop_
_atom_site_label
_atom_site_fract_x
_atom_site_fract_y
_atom_site_fract_z
Zn1 0.5000 0.5000 0.0000
Zn2 0.5000 0.5000 0.3325
Zn3 0.5000 0.5000 0.6675
Zn4 0.5000 0.0000 0.1693
Zn5 0.5000 0.0000 0.5000
Zn6 0.5000 0.0000 0.8307
Zn7 0.0000 0.5000 0.1693
Zn8 0.0000 0.5000 0.5000
Zn9 0.0000 0.5000 0.8307
Ir1 0.0000 0.0000 0.3363
Ir2 0.0000 0.0000 0.6637
Pd1 0.0000 0.0000 0.0000
```

***

Record 7
Below is a geometry-optimized PuCuNiRu structure, with properties calculated at the GGA-PBE level.

space-group type	F-43m, No. 216
total DFT energy (no corrections)	-8.36	eV/atom
total magnetic moment	4.08	μB/f.u.

```
data_PuCuNiRu
_chemical_formula_sum 'Pu1 Cu1 Ni1 Ru1'
_cell_length_a 4.4364
_cell_length_b 4.4364
_cell_length_c 4.4364
_cell_angle_alpha 60.00
_cell_angle_beta 60.00
_cell_angle_gamma 60.00
_space_group_name_H-M_alt 'P 1'
_space_group_IT_number 1
_space_group_name_Hall 'P 1'
loop_
_atom_site_label
_atom_site_fract_x
_atom_site_fract_y
_atom_site_fract_z
Ru1 0.7500 0.7500 0.7500
Ni1 0.2500 0.2500 0.2500
Cu1 0.5000 0.5000 0.5000
Pu1 0.0000 0.0000 0.0000
```

***

Record 8
Below is a geometry-optimized Li2Cu4Ir structure, with properties calculated at the GGA-PBE level.

space-group type	C2/m, No. 12
total DFT energy (no corrections)	-4.11	eV/atom
total magnetic moment	0.00	μB/f.u.

```
data_Li2Cu4Ir
_chemical_formula_sum 'Li2 Cu4 Ir1'
_cell_length_a 2.5342
_cell_length_b 6.4557
_cell_length_c 6.7943
_cell_angle_alpha 118.41
_cell_angle_beta 100.75
_cell_angle_gamma 90.00
_space_group_name_H-M_alt 'P 1'
_space_group_IT_number 1
_space_group_name_Hall 'P 1'
loop_
_atom_site_label
_atom_site_fract_x
_atom_site_fract_y
_atom_site_fract_z
Li1 0.7818 0.8099 0.5637
Li2 0.2182 0.1901 0.4363
Cu1 0.9130 0.2835 0.8260
Cu2 0.0870 0.7165 0.1740
Cu3 0.6052 0.4011 0.2105
Cu4 0.3948 0.5989 0.7895
Ir1 0.0000 0.0000 0.0000
```

***

Record 9
Below is a geometry-optimized LiLa2Hg structure, with properties calculated at the GGA-PBE level.

space-group type	Cm, No. 8
total DFT energy (no corrections)	-3.08	eV/atom
total magnetic moment	0.00	μB/f.u.

```
data_LiLa2Hg
_chemical_formula_sum 'Li1 La2 Hg1'
_cell_length_a 3.7008
_cell_length_b 3.7008
_cell_length_c 10.8701
_cell_angle_alpha 80.12
_cell_angle_beta 80.12
_cell_angle_gamma 60.01
_space_group_name_H-M_alt 'P 1'
_space_group_IT_number 1
_space_group_name_Hall 'P 1'
loop_
_atom_site_label
_atom_site_fract_x
_atom_site_fract_y
_atom_site_fract_z
Li1 0.5001 0.5001 0.4993
La1 0.0798 0.0798 0.7629
La2 0.2537 0.2537 0.2370
Hg1 0.6664 0.6664 0.0008
```

***

Record 10
Below is a geometry-optimized SmMnTe structure, with properties calculated at the GGA-PBE level.

space-group type	R-3m, No. 166
uncorrected formation energy	-0.28	eV/atom
total magnetic moment	0.00	μB/f.u.

```
data_SmMnTe
_chemical_formula_sum 'Sm2 Mn2 Te2'
_cell_length_a 3.8270
_cell_length_b 3.8270
_cell_length_c 12.7405
_cell_angle_alpha 81.36
_cell_angle_beta 81.36
_cell_angle_gamma 60.00
_space_group_name_H-M_alt 'P 1'
_space_group_IT_number 1
_space_group_name_Hall 'P 1'
loop_
_atom_site_label
_atom_site_fract_x
_atom_site_fract_y
_atom_site_fract_z
Sm1 0.5589 0.5589 0.3232
Sm2 0.4411 0.4411 0.6768
Te1 0.2861 0.2861 0.1418
Te2 0.7139 0.7139 0.8582
Mn1 0.8332 0.8332 0.5005
Mn2 0.1668 0.1668 0.4995
```

***

Record 11
Below is a geometry-optimized FeN2Cl structure, with properties calculated at the GGA-PBE level.

space-group type	Fm-3m, No. 225
uncorrected formation energy	2.32	eV/atom
relative energy among the computed polymorphs	6.40	eV per formula unit
total magnetic moment	0.00	μB/f.u.

```
data_FeN2Cl
_chemical_formula_sum 'Fe1 N2 Cl1'
_cell_length_a 3.7727
_cell_length_b 3.7727
_cell_length_c 3.7727
_cell_angle_alpha 60.00
_cell_angle_beta 60.00
_cell_angle_gamma 60.00
_space_group_name_H-M_alt 'P 1'
_space_group_IT_number 1
_space_group_name_Hall 'P 1'
loop_
_atom_site_label
_atom_site_fract_x
_atom_site_fract_y
_atom_site_fract_z
N1 0.2500 0.2500 0.2500
N2 0.7500 0.7500 0.7500
Fe1 0.5000 0.5000 0.5000
Cl1 0.0000 0.0000 0.0000
```

***

Record 12
Below is a geometry-optimized RbP2PdO8 structure, with properties calculated at the GGA-PBE level.

space-group type	P-3, No. 147
uncorrected formation energy	-1.56	eV/atom
total magnetic moment	0.99	μB/f.u.

```
data_RbP2PdO8
_chemical_formula_sum 'Rb1 P2 Pd1 O8'
_cell_length_a 4.8600
_cell_length_b 4.8600
_cell_length_c 8.8081
_cell_angle_alpha 90.00
_cell_angle_beta 90.00
_cell_angle_gamma 120.00
_space_group_name_H-M_alt 'P 1'
_space_group_IT_number 1
_space_group_name_Hall 'P 1'
loop_
_atom_site_label
_atom_site_fract_x
_atom_site_fract_y
_atom_site_fract_z
Rb1 0.0000 0.0000 0.0000
P1 0.6667 0.3333 0.3083
P2 0.3333 0.6667 0.6917
Pd1 0.0000 0.0000 0.5000
O1 0.3333 0.6667 0.8641
O2 0.3504 0.3117 0.3646
O3 0.6883 0.0387 0.3646
O4 0.6667 0.3333 0.1359
O5 0.3117 0.9613 0.6354
O6 0.6496 0.6883 0.6354
O7 0.0387 0.3504 0.6354
O8 0.9613 0.6496 0.3646
```

***

> Among the records above, which one has the highest total magnetic moment?

Sr3PuTl4